(1)
Density functional theory data (GGA-PBE) for crystalline La2TbPmNd2 at its relaxed geometry.

Results
Density of states at the Fermi level ... 17.579 states/eV per cell
Formation enthalpy at 0 K ... 5 kJ per mole of atoms
Calculated density ... 6886 kg/m3
Final energy ... -4.745 eV per atom
Volume ... 420 Å³/cell

a b c (Å): 5.819 7.155 10.081
angles (deg): 90.00 90.00 90.00
Element x y z (fractional)
La: 0.500 0.508 0.000
Nd: 0.500 0.758 0.668
Tb: 0.500 0.757 0.338
Tb: 0.500 0.257 0.662
Nd: 0.000 0.757 0.166
La: 0.000 0.758 0.828
La: 0.000 0.258 0.172
La: 0.500 0.008 0.000
Pm: 0.000 0.008 0.500
Nd: 0.500 0.258 0.332
Nd: 0.000 0.257 0.834
Pm: 0.000 0.508 0.500



(2)
Density functional theory data (GGA-PBE) for crystalline VRuC at its relaxed geometry.

Results
Density of states at the Fermi level ... 3.316 states/eV per cell
Formation enthalpy at 0 K ... 44 kJ per mole of atoms
Calculated density ... 8155 kg/m3
Energy above the lowest structure with this stoichiometry ... 204 meV per atom
Final energy ... -8.754 eV per atom
Volume ... 33 Å³/cell

a b c (Å): 2.790 3.718 3.718
angles (deg): 120.00 90.00 90.00
Element x y z (fractional)
C: 0.153 0.000 0.000
Ru: 0.167 0.333 0.667
V: 0.680 0.667 0.333